Entry 1:
TiAgN2F: relaxed, GGA-PBE.

Output
- space group = No. 123
- ΔE_f (raw) (eV/atom) = -0.38
- volume (Å³ per cell) = 63
- density of states at the Fermi level (states/eV per atom) = 0.523
- total moment (μB/cell) = 0.000

Lattice parameters (Å, degrees): 3.9703 3.9703 3.9719 90.00 90.00 90.00
Sites, in units of the cell vectors:
N 0.0000 0.5000 0.0000
N 0.5000 0.0000 0.0000
F 0.0000 0.0000 0.5000
Ag 0.5000 0.5000 0.5000
Ti 0.0000 0.0000 0.0000

***

Entry 2:
SmZn3Cd3: relaxed, GGA-PBE.

Output
- space group = No. 11
- volume (Å³ per cell) = 286
- density of states at the Fermi level (states/eV per atom) = 0.349
- energy of formation from the pure elements (eV/atom) = -0.22
- total moment (μB/cell) = 0.000

Lattice parameters (Å, degrees): 4.5351 6.9366 9.9273 113.56 90.00 90.00
Sites, in units of the cell vectors:
Sm 0.7500 0.3420 0.7152
Sm 0.2500 0.6580 0.2848
Zn 0.7500 0.9902 0.3639
Zn 0.7500 0.3242 0.0955
Zn 0.7500 0.8112 0.5426
Zn 0.2500 0.0098 0.6361
Zn 0.2500 0.6758 0.9045
Zn 0.2500 0.1888 0.4574
Cd 0.7500 0.7279 0.0692
Cd 0.7500 0.3899 0.3855
Cd 0.7500 0.9209 0.8433
Cd 0.2500 0.2721 0.9308
Cd 0.2500 0.6101 0.6145
Cd 0.2500 0.0791 0.1567

***

Entry 3:
TeP3: relaxed, GGA-PBE.

Output
- space group = No. 229
- ΔE_f (raw) (eV/atom) = 0.42
- volume (Å³ per cell) = 77
- density of states at the Fermi level (states/eV per atom) = 0.864
- total moment (μB/cell) = 0.000

Lattice parameters (Å, degrees): 4.6408 4.6408 4.6408 109.46 109.46 109.46
Sites, in units of the cell vectors:
P 0.0000 0.0000 0.0000
P 0.5000 0.0000 0.5000
P 0.5000 0.5000 0.0000
Te 0.0000 0.5000 0.5000

***

Entry 4:
Sr2SiC: relaxed, GGA-PBE.

Output
- space group = No. 225
- ΔE_f (raw) (eV/atom) = 0.77
- volume (Å³ per cell) = 96
- density of states at the Fermi level (states/eV per atom) = 0.702
- total moment (μB/cell) = 0.000

Lattice parameters (Å, degrees): 5.1362 5.1362 5.1362 60.00 60.00 60.00
Sites, in units of the cell vectors:
Sr 0.2500 0.2500 0.2500
Sr 0.7500 0.7500 0.7500
Si 0.5000 0.5000 0.5000
C 0.0000 0.0000 0.0000

***

Entry 5:
CaNdIn: relaxed, GGA-PBE.

Output
- space group = No. 164
- volume (Å³ per cell) = 196
- density of states at the Fermi level (states/eV per atom) = 0.437
- energy of formation from the pure elements (eV/atom) = -0.26
- total moment (μB/cell) = 0.000

Lattice parameters (Å, degrees): 5.3701 5.3718 7.8319 90.04 90.04 59.99
Sites, in units of the cell vectors:
Ca 0.6667 0.1668 0.3775
Ca 0.3333 0.8332 0.6225
Nd 0.6666 0.1666 0.8967
Nd 0.3334 0.8334 0.1033
In 0.0000 0.4999 0.7888
In 0.0000 0.5001 0.2112

***

Entry 6:
Sr6Rh5O15: relaxed, GGA-PBE.

Output
- space group = No. 155
- ΔE_f (raw) (eV/atom) = -1.76
- volume (Å³ per cell) = 1467
- density of states at the Fermi level (states/eV per atom) = 0.374
- total moment (μB/cell) = 6.630

Lattice parameters (Å, degrees): 12.1201 12.1201 12.1201 107.37 107.37 107.37
Site moments in Bohr magnetons follow the coordinates.
Sites, in units of the cell vectors:
Sr 0.0000 0.6575 0.3425  0.00
Sr 0.6763 0.0027 0.8237  0.00
Sr 0.0000 0.1581 0.8419  0.00
Sr 0.8237 0.6763 0.0027  0.00
Sr 0.1764 0.5000 0.8236  0.00
Sr 0.6590 0.8361 0.4986  0.00
Sr 0.5014 0.1639 0.3410  0.00
Sr 0.8419 0.0000 0.1581  0.00
Sr 0.1639 0.3410 0.5014  0.00
Sr 0.8236 0.1764 0.5000  0.00
Sr 0.5000 0.3234 0.6766  0.00
Sr 0.1763 0.9973 0.3237  0.00
Sr 0.3237 0.1763 0.9973  0.00
Sr 0.6575 0.3425 0.0000  0.00
Sr 0.5000 0.8236 0.1764  0.00
Sr 0.8361 0.4986 0.6590  0.00
Sr 0.9973 0.3237 0.1763  0.00
Sr 0.3410 0.5014 0.1639  0.00
Sr 0.4986 0.6590 0.8361  0.00
Sr 0.1581 0.8419 0.0000  0.00
Sr 0.3425 0.0000 0.6575  0.00
Sr 0.3234 0.6766 0.5000  0.00
Sr 0.0027 0.8237 0.6763  0.00
Sr 0.6766 0.5000 0.3234  0.00
Rh 0.4026 0.4043 0.9046  0.09
Rh 0.0954 0.5957 0.5974  0.09
Rh 0.2922 0.2922 0.2922  0.19
Rh 0.7069 0.2074 0.2076  0.19
Rh 0.0002 0.9998 0.5000  0.53
Rh 0.9046 0.4026 0.4043  0.09
Rh 0.2076 0.7069 0.2074  0.19
Rh 0.7924 0.7926 0.2931  0.19
Rh 0.2074 0.2076 0.7069  0.19
Rh 0.2931 0.7924 0.7926  0.19
Rh 0.4043 0.9046 0.4026  0.09
Rh 0.7078 0.7078 0.7078  0.19
Rh 0.9998 0.5000 0.0002  0.53
Rh 0.5000 0.0002 0.9998  0.53
Rh 0.0962 0.0962 0.0962  0.08
Rh 0.5974 0.0954 0.5957  0.09
Rh 0.9038 0.9038 0.9038  0.08
Rh 0.5000 0.5000 0.5000  0.47
Rh 0.5957 0.5974 0.0954  0.09
Rh 0.7926 0.2931 0.7924  0.19
O 0.4559 0.9200 0.8082  0.07
O 0.7794 0.6148 0.1823  0.01
O 0.3183 0.3878 0.7239  0.01
O 0.9550 0.9192 0.3076  0.06
O 0.2714 0.1064 0.1970  0.01
O 0.0808 0.0450 0.6924  0.06
O 0.0860 0.4995 0.4193  0.01
O 0.6831 0.7809 0.1168  0.02
O 0.8082 0.4559 0.9200  0.07
O 0.1924 0.5791 0.0450  0.06
O 0.8832 0.2191 0.3169  0.02
O 0.7809 0.1168 0.6831  0.02
O 0.3852 0.2206 0.8177  0.01
O 0.7239 0.3183 0.3878  0.01
O 0.5200 0.6686 0.6320  0.06
O 0.3076 0.9550 0.9192  0.06
O 0.8177 0.3852 0.2206  0.01
O 0.0800 0.5441 0.1918  0.07
O 0.9192 0.3076 0.9550  0.06
O 0.0000 0.9172 0.0828  0.01
O 0.5005 0.9140 0.5807  0.01
O 0.0828 0.0000 0.9172  0.01
O 0.4193 0.0860 0.4995  0.01
O 0.3314 0.4800 0.3680  0.06
O 0.6148 0.1823 0.7794  0.01
O 0.5441 0.1918 0.0800  0.07
O 0.9172 0.0828 0.0000  0.01
O 0.1970 0.2714 0.1064  0.01
O 0.5807 0.5005 0.9140  0.01
O 0.2191 0.3169 0.8832  0.02
O 0.4170 0.5830 0.0000  0.01
O 0.4209 0.8076 0.9550  0.06
O 0.1064 0.1970 0.2714  0.01
O 0.5791 0.0450 0.1924  0.06
O 0.1168 0.6831 0.7809  0.02
O 0.1918 0.0800 0.5441  0.07
O 0.6924 0.0808 0.0450  0.06
O 0.5830 0.0000 0.4170  0.01
O 0.0450 0.6924 0.0808  0.06
O 0.7286 0.8030 0.8936  0.01
O 0.3169 0.8832 0.2191  0.02
O 0.3680 0.3314 0.4800  0.06
O 0.8030 0.8936 0.7286  0.01
O 0.6122 0.6817 0.2761  0.01
O 0.6320 0.5200 0.6686  0.06
O 0.9200 0.8082 0.4559  0.07
O 0.2761 0.6122 0.6817  0.01
O 0.4995 0.4193 0.0860  0.01
O 0.4800 0.3680 0.3314  0.06
O 0.6817 0.2761 0.6122  0.01
O 0.8936 0.7286 0.8030  0.01
O 0.9140 0.5807 0.5005  0.01
O 0.6686 0.6320 0.5200  0.06
O 0.0000 0.4170 0.5830  0.01
O 0.3878 0.7239 0.3183  0.01
O 0.9550 0.4209 0.8076  0.06
O 0.0450 0.1924 0.5791  0.06
O 0.1823 0.7794 0.6148  0.01
O 0.2206 0.8177 0.3852  0.01
O 0.8076 0.9550 0.4209  0.06

***

Entry 7:
Na3Mg4Bi4: relaxed, GGA-PBE.

Output
- space group = No. 71
- volume (Å³ per cell) = 326
- density of states at the Fermi level (states/eV per atom) = 0.173
- energy of formation from the pure elements (eV/atom) = -0.27
- total moment (μB/cell) = 0.000

Lattice parameters (Å, degrees): 5.0209 7.8636 9.4746 114.52 105.36 90.00
Sites, in units of the cell vectors:
Na 0.1026 0.1026 0.2051
Na 0.8974 0.8974 0.7949
Na 0.0000 0.5000 0.0000
Mg 0.3302 0.1319 0.6604
Mg 0.6698 0.4714 0.3396
Mg 0.6698 0.8681 0.3396
Mg 0.3302 0.5286 0.6604
Bi 0.2222 0.7222 0.4443
Bi 0.7778 0.2778 0.5557
Bi 0.5000 0.7908 0.0000
Bi 0.5000 0.2092 0.0000

***

Entry 8:
AlSbBr2: relaxed, GGA-PBE.

Output
- space group = No. 225
- ΔE_f (raw) (eV/atom) = 0.24
- volume (Å³ per cell) = 106
- density of states at the Fermi level (states/eV per atom) = 1.256
- total moment (μB/cell) = 0.000

Lattice parameters (Å, degrees): 5.3043 5.3043 5.3043 60.00 60.00 60.00
Sites, in units of the cell vectors:
Sb 0.5000 0.5000 0.5000
Al 0.0000 0.0000 0.0000
Br 0.2500 0.2500 0.2500
Br 0.7500 0.7500 0.7500

***

Entry 9:
Ba2As3Pt4Pb: relaxed, GGA-PBE.

Output
- space group = No. 115
- volume (Å³ per cell) = 228
- density of states at the Fermi level (states/eV per atom) = 0.711
- energy of formation from the pure elements (eV/atom) = -0.66
- total moment (μB/cell) = 0.000

Lattice parameters (Å, degrees): 4.6432 4.6432 10.5653 90.00 90.00 90.00
Sites, in units of the cell vectors:
Ba 0.5000 0.0000 0.2406
Ba 0.0000 0.5000 0.7594
As 0.0000 0.0000 0.5000
As 0.5000 0.0000 0.8836
As 0.0000 0.5000 0.1164
Pt 0.5000 0.5000 0.0000
Pt 0.0000 0.0000 0.0000
Pt 0.5000 0.0000 0.6443
Pt 0.0000 0.5000 0.3557
Pb 0.5000 0.5000 0.5000

***

| no. | DFT total energy (eV for the cell shown) |
| --- | --- |
| 1 | -31.149 |
| 2 | -25.610 |
| 3 | -17.696 |
| 4 | -14.924 |
| 5 | -20.580 |
| 6 | -667.601 |
| 7 | -28.806 |
| 8 | -10.260 |
| 9 | -52.283 |